Entry from Alexandria: a geometry-optimized La6Tl2TeI3 structure (GGA-PBE).

abc: 8.148 14.080 7.842
angles: 90.00 110.09 90.00
Space group C2/m (No. 12)
Unique sites:
La (0.237, 0.000, 0.231)
La (0.248, 0.331, 0.235)
Tl (0.000, 0.168, 0.000)
Te (0.000, 0.500, 0.000)
I (0.000, 0.000, 0.500)
I (0.000, 0.335, 0.500)

Summary:
* volume: 422.5 Å³/f.u.
* calculated density: 6.88 g/cm3
* DOS at the Fermi energy: 8.19 states/eV/f.u.
* VASP energy: -106.18 eV per cell
* spin magnetization: 0.000 μB/f.u.